No. 1
Density functional theory data (GGA-PBE) for a relaxed structure of YSnHgCl6.

Cell lengths 7.1597, 7.1597, 6.5001 Å; angles 90.00, 90.00, 120.00 degrees
Space group P312 (No. 149)
One atom of each set of equivalent atoms:
Y1 0.0000 0.0000 0.0000 x1
Sn1 0.6667 0.3333 0.0000 x1
Hg1 0.3333 0.6667 0.5000 x1
Cl1 0.3150 0.0145 0.2310 x6

Summary:
formation energy from raw total energies = -1.36 eV/atom
M_tot = 0.0 Bohr magnetons per cell

No. 2
Density functional theory data (GGA-PBE) for a relaxed structure of Sr2HgCl6.

Cell lengths 7.124, 7.418, 11.436 Å; angles 90.00, 117.99, 90.00 degrees
Space group P2_1/c (No. 14)
One atom of each set of equivalent atoms:
Sr1 0.169 0.105 0.223 x4
Hg1 0.500 0.000 0.000 x2
Cl1 0.128 0.183 0.945 x4
Cl2 0.227 0.688 0.907 x4
Cl3 0.436 0.066 0.766 x4

Summary:
formation energy from raw total energies = -1.82 eV/atom
M_tot = 0.0 Bohr magnetons per cell

No. 3
Density functional theory data (GGA-PBE) for a relaxed structure of Sr2HgCl.

Cell lengths 4.583, 4.583, 6.573 Å; angles 90.00, 90.00, 90.00 degrees
Space group P4/mmm (No. 123)
One atom of each set of equivalent atoms:
Sr1 0.000 0.000 0.000 x1
Sr2 0.500 0.500 0.500 x1
Hg1 0.000 0.000 0.500 x1
Cl1 0.500 0.500 0.000 x1

Summary:
formation energy from raw total energies = -1.08 eV/atom
M_tot = 0.0 Bohr magnetons per cell

No. 4
Density functional theory data (GGA-PBE) for a relaxed structure of Sr2HgCl.

Cell lengths 4.3792, 4.3792, 24.6271 Å; angles 90.00, 90.00, 120.00 degrees
Space group R-3m (No. 166, hexagonal axes)
One atom of each set of equivalent atoms:
Sr1 0.0000 0.0000 0.2501 x6
Hg1 0.0000 0.0000 0.0000 x3
Cl1 0.0000 0.0000 0.5000 x3

Summary:
formation energy from raw total energies = -1.10 eV/atom
M_tot = 0.3 Bohr magnetons per cell

No. 5
Density functional theory data (GGA-PBE) for a relaxed structure of SrHgCl6.

Cell lengths 4.359, 6.508, 9.287 Å; angles 77.02, 88.23, 89.33 degrees
Space group P-1 (No. 2)
One atom of each set of equivalent atoms:
Sr1 0.000 0.000 0.000 x1
Hg1 0.500 0.000 0.500 x1
Cl1 0.048 0.576 0.887 x2
Cl2 0.136 0.727 0.585 x2
Cl3 0.487 0.891 0.202 x2

Summary:
formation energy from raw total energies = -1.09 eV/atom
M_tot = 0.0 Bohr magnetons per cell

No. 6
Density functional theory data (GGA-PBE) for a relaxed structure of SrHg4Cl12.

Cell lengths 10.061, 10.061, 10.061 Å; angles 90.00, 90.00, 90.00 degrees
Space group Im-3 (No. 204)
One atom of each set of equivalent atoms:
Sr1 0.000 0.000 0.000 x2
Hg1 0.250 0.250 0.250 x8
Cl1 0.000 0.280 0.177 x24

Summary:
formation energy from raw total energies = -0.69 eV/atom
M_tot = 0.0 Bohr magnetons per cell

No. 7
Density functional theory data (GGA-PBE) for a relaxed structure of Sr2HgCl.

Cell lengths 8.309, 8.309, 8.309 Å; angles 90.00, 90.00, 90.00 degrees
Space group F-43m (No. 216)
One atom of each set of equivalent atoms:
Sr1 0.000 0.000 0.000 x4
Sr2 0.250 0.250 0.250 x4
Hg1 0.250 0.250 0.750 x4
Cl1 0.000 0.000 0.500 x4

Summary:
formation energy from raw total energies = -0.38 eV/atom
M_tot = 0.9 Bohr magnetons per cell

No. 8
Density functional theory data (GGA-PBE) for a relaxed structure of Sr2Hg2Cl.

Cell lengths 8.450, 8.450, 4.769 Å; angles 90.00, 90.00, 90.00 degrees
Space group P4/mbm (No. 127)
One atom of each set of equivalent atoms:
Sr1 0.181 0.319 0.000 x4
Hg1 0.123 0.623 0.500 x4
Cl1 0.000 0.000 0.000 x2

Summary:
formation energy from raw total energies = -0.91 eV/atom
M_tot = 0.0 Bohr magnetons per cell

No. 9
Density functional theory data (GGA-PBE) for a relaxed structure of Sr2HgCl.

Cell lengths 15.805, 4.186, 4.292 Å; angles 90.00, 90.23, 90.00 degrees
Space group Cm (No. 8)
One atom of each set of equivalent atoms:
Sr1 0.000 0.000 0.000 x2
Sr2 0.249 0.000 0.496 x2
Hg1 0.167 0.500 0.995 x2
Cl1 0.438 0.000 0.499 x2

Summary:
formation energy from raw total energies = -1.06 eV/atom
M_tot = 0.0 Bohr magnetons per cell

No. 10
Density functional theory data (GGA-PBE) for a relaxed structure of SrHg3Cl8.

Cell lengths 5.914, 8.273, 8.388 Å; angles 71.37, 89.56, 89.53 degrees
Space group P1 (No. 1)
One atom of each set of equivalent atoms:
Sr1 0.000 0.000 0.000 x1
Hg1 0.490 0.468 0.671 x1
Hg2 0.559 0.972 0.634 x1
Hg3 0.979 0.465 0.038 x1
Cl1 0.471 0.804 0.451 x1
Cl2 0.492 0.548 0.924 x1
Cl3 0.496 0.315 0.473 x1
Cl4 0.497 0.028 0.919 x1
Cl5 0.972 0.161 0.249 x1
Cl6 0.987 0.897 0.708 x1
Cl7 0.994 0.373 0.780 x1
Cl8 0.994 0.649 0.211 x1

Summary:
formation energy from raw total energies = -1.02 eV/atom
M_tot = 0.0 Bohr magnetons per cell

No. 11
Density functional theory data (GGA-PBE) for a relaxed structure of SrHgCl4.

Cell lengths 9.426, 9.426, 8.902 Å; angles 90.00, 90.00, 90.00 degrees
Space group I4_1/amd (No. 141, origin choice 2)
One atom of each set of equivalent atoms:
Sr1 0.000 0.250 0.375 x4
Hg1 0.000 0.250 0.875 x4
Cl1 0.000 0.065 0.668 x16

Summary:
formation energy from raw total energies = -1.50 eV/atom
M_tot = 0.0 Bohr magnetons per cell

No. 12
Density functional theory data (GGA-PBE) for a relaxed structure of Sr2HgCl.

Cell lengths 4.302, 7.002, 9.533 Å; angles 90.00, 90.00, 90.00 degrees
Space group Immm (No. 71)
One atom of each set of equivalent atoms:
Sr1 0.000 0.000 0.219 x4
Hg1 0.000 0.500 0.000 x2
Cl1 0.000 0.500 0.500 x2

Summary:
formation energy from raw total energies = -0.94 eV/atom
M_tot = 0.0 Bohr magnetons per cell

| no. | volume (Å³/atom) |
| --- | --- |
| 1 | 32.07 |
| 2 | 29.64 |
| 3 | 34.51 |
| 4 | 34.10 |
| 5 | 32.08 |
| 6 | 29.95 |
| 7 | 35.85 |
| 8 | 34.06 |
| 9 | 35.49 |
| 10 | 32.41 |
| 11 | 32.95 |
| 12 | 35.89 |